Record 1
# Li5Sm2Zn5, relaxed, DFT PBE
# crystal system = orthorhombic
# calculated formation energy = -183 meV per atom
# size of the total moment = 0.0 μB per formula unit
data_Li5Sm2Zn5
_chemical_formula_sum 'Li5 Sm2 Zn5'
_cell_length_a 4.5514
_cell_length_b 5.2055
_cell_length_c 9.3715
_cell_angle_alpha 90.00
_cell_angle_beta 90.00
_cell_angle_gamma 90.00
_space_group_name_H-M_alt 'P m m m'
_space_group_IT_number 47
loop_
_space_group_symop_operation_xyz
'x,y,z'
'-x,-y,-z'
'-x,-y,z'
'x,y,-z'
'x,-y,-z'
'-x,y,z'
'-x,y,-z'
'x,-y,z'
loop_
_atom_site_label
_atom_site_type_symbol
_atom_site_fract_x
_atom_site_fract_y
_atom_site_fract_z
Li1 Li 0.0000 0.0000 0.0000
Li2 Li 0.0000 0.2498 0.2557
Sm1 Sm 0.5000 0.0000 0.5000
Sm2 Sm 0.5000 0.5000 0.0000
Zn1 Zn 0.0000 0.5000 0.5000
Zn2 Zn 0.5000 0.0000 0.1676
Zn3 Zn 0.5000 0.5000 0.3286

***

Record 2
# Nb4SiB, relaxed, DFT PBE
# crystal system = monoclinic
# formation energy without anion corrections = -0.139 eV per atom
# size of the total moment = 0.0 μB per formula unit
# relative energy among the computed polymorphs = 0.428 eV per atom
data_Nb4SiB
_chemical_formula_sum 'Nb8 Si2 B2'
_cell_length_a 5.6327
_cell_length_b 5.8589
_cell_length_c 6.0431
_cell_angle_alpha 90.00
_cell_angle_beta 96.76
_cell_angle_gamma 90.00
_space_group_name_H-M_alt 'P 1 21/c 1'
_space_group_IT_number 14
loop_
_space_group_symop_operation_xyz
'x,y,z'
'-x,-y,-z'
'-x,y+1/2,-z+1/2'
'x,-y+1/2,z+1/2'
loop_
_atom_site_label
_atom_site_type_symbol
_atom_site_fract_x
_atom_site_fract_y
_atom_site_fract_z
Nb1 Nb 0.1160 0.1638 0.1807
Nb2 Nb 0.3545 0.6323 0.1158
Si1 Si 0.5000 0.0000 0.0000
B1 B 0.0000 0.0000 0.5000

***

Record 3
# NbMo6W8, relaxed, DFT PBE
# crystal system = trigonal
# calculated formation energy = 575 meV per atom
# size of the total moment = 0.0 μB per formula unit
# relative energy among the computed polymorphs = 0.284 eV per atom
data_NbMo6W8
_chemical_formula_sum 'Nb1 Mo6 W8'
_cell_length_a 10.1132
_cell_length_b 10.1132
_cell_length_c 2.9134
_cell_angle_alpha 90.00
_cell_angle_beta 90.00
_cell_angle_gamma 120.00
_space_group_name_H-M_alt 'P -3'
_space_group_IT_number 147
loop_
_space_group_symop_operation_xyz
'x,y,z'
'-x,-y,-z'
'-y,x-y,z'
'y,-x+y,-z'
'-x+y,-x,z'
'x-y,x,-z'
loop_
_atom_site_label
_atom_site_type_symbol
_atom_site_fract_x
_atom_site_fract_y
_atom_site_fract_z
Nb1 Nb 0.0000 0.0000 0.0000
Mo1 Mo 0.1014 0.4722 0.1346
W1 W 0.0855 0.7964 0.3522
W2 W 0.3333 0.6667 0.6261

***

Record 4
# NiSbPb3, relaxed, DFT PBE
# crystal system = cubic
# formation energy without anion corrections = 1.138 eV per atom
# size of the total moment = 0.0 μB per formula unit
# relative energy among the computed polymorphs = 1.028 eV per atom
data_NiSbPb3
_chemical_formula_sum 'Ni1 Sb1 Pb3'
_cell_length_a 5.8828
_cell_length_b 5.8828
_cell_length_c 5.8828
_cell_angle_alpha 90.00
_cell_angle_beta 90.00
_cell_angle_gamma 90.00
_space_group_name_H-M_alt 'P m -3 m'
_space_group_IT_number 221
_space_group_name_Hall '-P 4 2 3'
loop_
_atom_site_label
_atom_site_type_symbol
_atom_site_fract_x
_atom_site_fract_y
_atom_site_fract_z
Ni1 Ni 0.0000 0.0000 0.0000
Sb1 Sb 0.5000 0.5000 0.5000
Pb1 Pb 0.0000 0.5000 0.5000

***

Record 5
# YAg2Pd8, relaxed, DFT PBE
# crystal system = monoclinic
# calculated formation energy = -198 meV per atom
# size of the total moment = 0.0 μB per formula unit
# relative energy among the computed polymorphs = 0.117 eV per atom
data_YAg2Pd8
_chemical_formula_sum 'Y2 Ag4 Pd16'
_cell_length_a 7.4144
_cell_length_b 14.1227
_cell_length_c 4.9184
_cell_angle_alpha 90.00
_cell_angle_beta 131.47
_cell_angle_gamma 90.00
_space_group_name_H-M_alt 'C 1 2/m 1'
_space_group_IT_number 12
loop_
_space_group_symop_operation_xyz
'x,y,z'
'-x,-y,-z'
'-x,y,-z'
'x,-y,z'
'x+1/2,y+1/2,z'
'-x+1/2,-y+1/2,-z'
'-x+1/2,y+1/2,-z'
'x+1/2,-y+1/2,z'
loop_
_atom_site_label
_atom_site_type_symbol
_atom_site_fract_x
_atom_site_fract_y
_atom_site_fract_z
Y1 Y 0.0000 0.0000 0.0000
Ag1 Ag 0.0000 0.3169 0.5000
Pd1 Pd 0.0000 0.1948 0.0000
Pd2 Pd 0.0040 0.5000 0.2551
Pd3 Pd 0.2396 0.1369 0.7413

***

Record 6
# Ca2HoSn3Pd4, relaxed, DFT PBE
# crystal system = tetragonal
# calculated formation energy = -746 meV per atom
# size of the total moment = 0.0 μB per formula unit
data_Ca2HoSn3Pd4
_chemical_formula_sum 'Ca2 Ho1 Sn3 Pd4'
_cell_length_a 4.5615
_cell_length_b 4.5615
_cell_length_c 11.2851
_cell_angle_alpha 90.00
_cell_angle_beta 90.00
_cell_angle_gamma 90.00
_space_group_name_H-M_alt 'P -4 m 2'
_space_group_IT_number 115
loop_
_space_group_symop_operation_xyz
'x,y,z'
'y,-x,-z'
'-x,-y,z'
'-y,x,-z'
'-x,y,z'
'-y,-x,-z'
'x,-y,z'
'y,x,-z'
loop_
_atom_site_label
_atom_site_type_symbol
_atom_site_fract_x
_atom_site_fract_y
_atom_site_fract_z
Ca1 Ca 0.0000 0.5000 0.2240
Ho1 Ho 0.0000 0.0000 0.5000
Sn1 Sn 0.0000 0.5000 0.8761
Sn2 Sn 0.5000 0.5000 0.5000
Pd1 Pd 0.0000 0.0000 0.0000
Pd2 Pd 0.0000 0.5000 0.6448
Pd3 Pd 0.5000 0.5000 0.0000

***

Record 7
# TbTe4, relaxed, DFT PBE
# crystal system = cubic
# formation energy without anion corrections = 0.029 eV per atom
# size of the total moment = 0.1 μB per formula unit
data_TbTe4
_chemical_formula_sum 'Tb1 Te4'
_cell_length_a 5.8358
_cell_length_b 5.8358
_cell_length_c 5.8358
_cell_angle_alpha 90.00
_cell_angle_beta 90.00
_cell_angle_gamma 90.00
_space_group_name_H-M_alt 'P m -3 m'
_space_group_IT_number 221
_space_group_name_Hall '-P 4 2 3'
loop_
_atom_site_label
_atom_site_type_symbol
_atom_site_fract_x
_atom_site_fract_y
_atom_site_fract_z
Tb1 Tb 0.0000 0.0000 0.0000
Te1 Te 0.0000 0.0000 0.5000
Te2 Te 0.5000 0.5000 0.5000

***

Record 8
# GaHRu2, relaxed, DFT PBE
# crystal system = tetragonal
# size of the total moment = 0.0 μB per formula unit
# relative energy among the computed polymorphs = 0.143 eV per atom
data_GaHRu2
_chemical_formula_sum 'Ga4 H4 Ru8'
_cell_length_a 6.0105
_cell_length_b 6.0105
_cell_length_c 5.1942
_cell_angle_alpha 90.00
_cell_angle_beta 90.00
_cell_angle_gamma 90.00
_space_group_name_H-M_alt 'I -4 2 d'
_space_group_IT_number 122
_space_group_name_Hall 'I -4 2bw'
loop_
_atom_site_label
_atom_site_type_symbol
_atom_site_fract_x
_atom_site_fract_y
_atom_site_fract_z
Ga1 Ga 0.0000 0.0000 0.0000
H1 H 0.0000 0.0000 0.5000
Ru1 Ru 0.1583 0.7500 0.6250

***

Record 9
# Zr2Co, relaxed, DFT PBE
# crystal system = orthorhombic
# calculated formation energy = -222 meV per atom
# size of the total moment = 0.0 μB per formula unit
data_Zr2Co
_chemical_formula_sum 'Zr8 Co4'
_cell_length_a 3.3296
_cell_length_b 6.1044
_cell_length_c 11.2926
_cell_angle_alpha 90.00
_cell_angle_beta 90.00
_cell_angle_gamma 90.00
_space_group_name_H-M_alt 'I m m m'
_space_group_IT_number 71
_space_group_name_Hall '-I 2 2'
loop_
_atom_site_label
_atom_site_type_symbol
_atom_site_fract_x
_atom_site_fract_y
_atom_site_fract_z
Zr1 Zr 0.0000 0.0000 0.2136
Zr2 Zr 0.0000 0.2557 0.5000
Co1 Co 0.0000 0.5000 0.1213

***

Record 10
# YCrSn3, relaxed, DFT PBE
# crystal system = cubic
# calculated formation energy = 124 meV per atom
# size of the total moment = 2.2 μB per formula unit
# relative energy among the computed polymorphs = 0.000 eV per atom
data_YCrSn3
_chemical_formula_sum 'Y1 Cr1 Sn3'
_cell_length_a 5.0892
_cell_length_b 5.0892
_cell_length_c 5.0892
_cell_angle_alpha 90.00
_cell_angle_beta 90.00
_cell_angle_gamma 90.00
_space_group_name_H-M_alt 'P m -3 m'
_space_group_IT_number 221
_space_group_name_Hall '-P 4 2 3'
loop_
_atom_site_label
_atom_site_type_symbol
_atom_site_fract_x
_atom_site_fract_y
_atom_site_fract_z
Y1 Y 0.0000 0.0000 0.0000
Cr1 Cr 0.5000 0.5000 0.5000
Sn1 Sn 0.0000 0.5000 0.5000

***

Record 11
# Cs2AlHgI5, relaxed, DFT PBE
# crystal system = tetragonal
# formation energy without anion corrections = -0.976 eV per atom
# size of the total moment = 0.0 μB per formula unit
data_Cs2AlHgI5
_chemical_formula_sum 'Cs4 Al2 Hg2 I10'
_cell_length_a 8.6490
_cell_length_b 8.6490
_cell_length_c 11.0785
_cell_angle_alpha 90.00
_cell_angle_beta 90.00
_cell_angle_gamma 90.00
_space_group_name_H-M_alt 'I 4 m m'
_space_group_IT_number 107
_space_group_name_Hall 'I 4 -2'
loop_
_atom_site_label
_atom_site_type_symbol
_atom_site_fract_x
_atom_site_fract_y
_atom_site_fract_z
Cs1 Cs 0.0000 0.5000 0.0000
Al1 Al 0.0000 0.0000 0.2050
Hg1 Hg 0.0000 0.0000 0.5514
I1 I 0.0000 0.0000 0.9709
I2 I 0.2198 0.2198 0.2546

***

Record 12
# GeSeBr, relaxed, DFT PBE
# crystal system = triclinic
# formation energy without anion corrections = -0.382 eV per atom
# size of the total moment = 0.0 μB per formula unit
# relative energy among the computed polymorphs = 0.000 eV per atom
data_GeSeBr
_chemical_formula_sum 'Ge2 Se2 Br2'
_cell_length_a 3.7104
_cell_length_b 7.5240
_cell_length_c 8.2435
_cell_angle_alpha 87.71
_cell_angle_beta 77.18
_cell_angle_gamma 75.96
_space_group_name_H-M_alt 'P -1'
_space_group_IT_number 2
loop_
_space_group_symop_operation_xyz
'x,y,z'
'-x,-y,-z'
loop_
_atom_site_label
_atom_site_type_symbol
_atom_site_fract_x
_atom_site_fract_y
_atom_site_fract_z
Ge1 Ge 0.0662 0.0187 0.3460
Se1 Se 0.2931 0.1345 0.7863
Br1 Br 0.0655 0.6669 0.7007